A plane-wave DFT calculation with PBE was carried out for a relaxed structure of Tb4Nd3Ho5.

Lattice parameters (Å, degrees): 5.730 9.670 9.545 114.76 72.53 72.77
Site moments in Bohr magnetons follow the coordinates.
Atoms (fractional coordinates):
1 Tb 0.045 0.158 0.752  0.00
2 Tb 0.162 0.809 0.867  0.01
3 Tb 0.838 0.191 0.133  0.01
4 Tb 0.955 0.842 0.248  0.00
5 Nd 0.473 0.712 0.341  0.00
6 Nd 0.000 0.500 0.500  0.07
7 Nd 0.527 0.288 0.659  0.00
8 Ho 0.676 0.932 0.717  0.00
9 Ho 0.500 0.500 0.500  0.09
10 Ho 0.276 0.377 0.071  0.01
11 Ho 0.724 0.623 0.929  0.01
12 Ho 0.324 0.068 0.283  0.00

The crystal system is monoclinic. For the formation energy, the calculation gives 0.280 eV/atom. The value obtained for the polymorph energy (0 for the lowest one) is 264 meV/atom. The calculation puts the density of states at the Fermi level at 1.2630 states/eV/atom.